[1]
Material: CaMg3Si2
Method: DFT, PBE
State: optimized geometry

Results
Calculated total energy   -18.844 eV/f.u.
Theoretical density   2.2 g cm⁻³
Total moment   0.000 μB/atom
DOS(E_F)   4.91 states/eV per cell
Space-group type   No. 12
Crystal system   monoclinic

```
CaMg3Si2
1.0
4.2651 0.0000 1.1742
1.1725 7.2167 4.0746
-0.0105 -0.0286 8.3718
Ca Mg Si
2 6 4
Direct
0.8689 0.1309 0.1312 Ca
0.1311 0.8691 0.8688 Ca
0.3292 0.4711 0.8704 Mg
0.9997 0.3313 0.6694 Mg
0.6706 0.1300 0.5288 Mg
0.3294 0.8700 0.4712 Mg
0.0003 0.6687 0.3306 Mg
0.6708 0.5289 0.1296 Mg
0.5000 0.1430 0.8570 Si
0.5000 0.8570 0.1430 Si
0.8044 0.6956 0.6956 Si
0.1956 0.3044 0.3044 Si
```

***

[2]
Material: Ca3MgSi
Method: DFT, PBE
State: optimized geometry

Results
Calculated total energy   -13.340 eV/f.u.
Theoretical density   1.5 g cm⁻³
Total moment   0.000 μB/atom
DOS(E_F)   3.90 states/eV per cell
Space-group type   No. 221
Crystal system   cubic
Excess energy over the best structure of this formula in the dataset   0.0 meV per atom

```
Ca3MgSi
1.0
-5.0858 1.6866 1.9452
1.2058 -2.2449 5.0990
2.2748 4.9608 1.6461
Mg Ca Si
1 3 1
Direct
0.5000 0.5000 0.5000 Mg
0.0000 0.5000 0.0000 Ca
0.0000 0.0000 0.5000 Ca
0.5000 0.0000 0.0000 Ca
0.0000 0.0000 0.0000 Si
```

***

[3]
Material: CaMg3Si
Method: DFT, PBE
State: optimized geometry

Results
Calculated total energy   -11.487 eV/f.u.
Theoretical density   1.7 g cm⁻³
Total moment   0.000 μB/atom
DOS(E_F)   4.99 states/eV per cell
Space-group type   No. 221
Crystal system   cubic
Excess energy over the best structure of this formula in the dataset   0.0 meV per atom

```
CaMg3Si
1.0
-2.9278 -0.8457 4.1725
0.1934 -5.0852 -0.8949
4.2530 -0.3509 2.9131
Mg Ca Si
3 1 1
Direct
0.0000 0.5000 0.0000 Mg
0.0000 0.0000 0.5000 Mg
0.5000 0.0000 0.0000 Mg
0.5000 0.5000 0.5000 Ca
0.0000 0.0000 0.0000 Si
```

***

[4]
Material: CaMg3Si
Method: DFT, PBE
State: optimized geometry

Results
Calculated total energy   -5.583 eV/f.u.
Theoretical density   1.2 g cm⁻³
Total moment   0.000 μB/atom
DOS(E_F)   5.06 states/eV per cell
Space-group type   No. 221
Crystal system   cubic
Excess energy over the best structure of this formula in the dataset   1180.7 meV per atom

```
CaMg3Si
1.0
-3.2398 4.5255 1.4552
-4.2408 -3.5472 1.5896
2.1478 -0.1775 5.3338
Mg Ca Si
3 1 1
Direct
0.0000 0.5000 0.0000 Mg
0.0000 0.0000 0.5000 Mg
0.5000 0.0000 0.0000 Mg
0.0000 0.0000 0.0000 Ca
0.5000 0.5000 0.5000 Si
```

***

[5]
Material: SrCaMg2Si2
Method: DFT, PBE
State: optimized geometry

Results
Calculated total energy   -19.871 eV/f.u.
Theoretical density   2.6 g cm⁻³
Total moment   0.000 μB/atom
DOS(E_F)   0.71 states/eV per cell
Space-group type   No. 164
Crystal system   trigonal

```
SrCaMg2Si2
1.0
-4.3060 0.1940 -1.7807
3.3275 -2.4142 -2.2023
-1.9594 -6.3882 4.0423
Sr Ca Mg Si
1 1 2 2
Direct
0.0000 0.0000 0.0000 Sr
0.0000 0.0000 0.5000 Ca
0.3333 0.6667 0.7024 Mg
0.6667 0.3333 0.2976 Mg
0.3333 0.6667 0.2734 Si
0.6667 0.3333 0.7266 Si
```

***

[6]
Material: SrCaMgSi
Method: DFT, PBE
State: optimized geometry

Results
Calculated total energy   -11.397 eV/f.u.
Theoretical density   2.7 g cm⁻³
Total moment   0.000 μB/atom
DOS(E_F)   1.82 states/eV per cell
Space-group type   No. 216
Crystal system   cubic

```
SrCaMgSi
1.0
-0.5504 -4.9714 2.0413
2.3424 -1.2643 4.7009
-3.0308 -0.7925 4.4012
Mg Sr Ca Si
1 1 1 1
Direct
0.7500 0.7500 0.7500 Mg
0.0000 0.0000 0.0000 Sr
0.5000 0.5000 0.5000 Ca
0.2500 0.2500 0.2500 Si
```

***

[7]
Material: CaMgSi2Tc
Method: DFT, PBE
State: optimized geometry

Results
Calculated total energy   -25.248 eV/f.u.
Theoretical density   3.4 g cm⁻³
Total moment   0.000 μB/atom
DOS(E_F)   1.73 states/eV per cell
Space-group type   No. 123
Crystal system   tetragonal

```
CaMgSi2Tc
1.0
-1.4290 -3.6886 -2.4812
4.3177 -0.5315 -1.6966
1.1111 -2.9552 3.7534
Mg Ca Si Tc
1 1 2 1
Direct
0.0000 0.0000 0.5000 Mg
0.5000 0.5000 0.5000 Ca
0.0000 0.5000 0.0000 Si
0.5000 0.0000 0.0000 Si
0.0000 0.0000 0.0000 Tc
```

***

[8]
Material: CaMgZnSi
Method: DFT, PBE
State: optimized geometry

Results
Calculated total energy   -11.059 eV/f.u.
Theoretical density   3.2 g cm⁻³
Total moment   0.000 μB/atom
DOS(E_F)   1.01 states/eV per cell
Space-group type   No. 216
Crystal system   cubic

```
CaMgZnSi
1.0
-3.2920 -3.4253 -1.1351
0.6717 -2.8272 -3.9261
1.1029 -4.7261 0.5535
Mg Zn Si Ca
1 1 1 1
Direct
0.5000 0.5000 0.5000 Mg
0.7500 0.7500 0.7500 Zn
0.2500 0.2500 0.2500 Si
0.0000 0.0000 0.0000 Ca
```

***

Number 1: formation energy from raw total energies -0.2020 eV per atom. Number 2: formation energy from raw total energies -0.0636 eV per atom. Number 3: formation energy from raw total energies 0.1443 eV per atom. Number 4: formation energy from raw total energies 1.3251 eV per atom. Number 5: formation energy from raw total energies -0.3588 eV per atom. Number 6: formation energy from raw total energies -0.1740 eV per atom. Number 7: formation energy from raw total energies -0.0881 eV per atom. Number 8: formation energy from raw total energies -0.1916 eV per atom.